[1]
Below is ZrCdCoGe after structural relaxation, with properties calculated at the PBE level.

abc: 4.5985 4.5985 4.5985
angles: 60.00 60.00 60.00
With the nearest neighbours (Å) after each atom.
Sites, in units of the cell vectors:
Zr 0.0000 0.0000 0.0000  4 Co 2.82, 4 Cd 2.82
Cd 0.2500 0.2500 0.2500  4 Zr 2.82, 4 Ge 2.82
Co 0.7500 0.7500 0.7500  4 Ge 2.82, 4 Zr 2.82
Ge 0.5000 0.5000 0.5000  4 Co 2.82, 4 Cd 2.82

Summary:
VASP energy	-5.198	eV/atom
spin magnetization	0.097	μB/cell
crystal system	cubic
SG	F-43m, No. 216

***

[2]
Below is CdCoH6 after structural relaxation, with properties calculated at the PBE level.

abc: 3.4775 4.2711 4.5866
angles: 108.13 109.91 91.87
With the nearest neighbours (Å) after each atom.
Sites, in units of the cell vectors:
Cd 0.0000 0.0000 0.0000  4 H 2.13-2.16
Co 0.5000 0.5000 0.0000  6 H 1.55-1.57
H 0.2352 0.2315 0.6563  1 H 0.97
H 0.3843 0.7182 0.7780  1 Co 1.55
H 0.4819 0.7328 0.3332  1 H 0.97
H 0.5181 0.2672 0.6668  1 H 0.97
H 0.6157 0.2818 0.2220  1 Co 1.55
H 0.7648 0.7685 0.3437  1 H 0.97

Summary:
VASP energy	-3.285	eV/atom
spin magnetization	0.001	μB/cell
crystal system	triclinic
SG	P-1, No. 2

***

[3]
Below is HfCdCo after structural relaxation, with properties calculated at the PBE level.

abc: 4.3916 4.3916 4.3916
angles: 60.00 60.00 60.00
With the nearest neighbours (Å) after each atom.
Sites, in units of the cell vectors:
Hf 0.0000 0.0000 0.0000  4 Cd 2.69
Cd 0.2500 0.2500 0.2500  4 Hf 2.69, 4 Co 2.69
Co 0.5000 0.5000 0.5000  4 Cd 2.69

Summary:
VASP energy	-5.224	eV/atom
spin magnetization	1.457	μB/cell
calculated formation energy	2.3	eV per formula unit
crystal system	cubic
SG	F-43m, No. 216